A plane-wave DFT calculation with PBE was carried out for a relaxed PuCuIO6 crystal.

a = 5.5650 Å, b = 5.5650 Å, c = 9.0311 Å
α = 90.00°, β = 90.00°, γ = 120.00°
Last column: nearest neighbours and their distance in Å.
Fractional positions:
Pu 0.6667 0.3333 0.2500  6 O 2.12
Pu 0.3333 0.6667 0.7500  6 O 2.12
Cu 0.0000 0.0000 0.0000  6 O 2.25
Cu 0.0000 0.0000 0.5000  6 O 2.25
I 0.3333 0.6667 0.2500  6 O 2.12
I 0.6667 0.3333 0.7500  6 O 2.12
O 0.6549 0.6560 0.1306  1 I 2.12, 1 Pu 2.12, 1 Cu 2.25
O 0.0011 0.3451 0.1306  1 I 2.12, 1 Pu 2.12, 1 Cu 2.25
O 0.3451 0.0011 0.6306  1 I 2.12, 1 Pu 2.12, 1 Cu 2.25
O 0.9989 0.6549 0.8694  1 I 2.12, 1 Pu 2.12, 1 Cu 2.25
O 0.3440 0.3451 0.3694  1 I 2.12, 1 Pu 2.12, 1 Cu 2.25
O 0.0011 0.6560 0.3694  1 I 2.12, 1 Pu 2.12, 1 Cu 2.25
O 0.6560 0.0011 0.8694  1 I 2.12, 1 Pu 2.12, 1 Cu 2.25
O 0.6549 0.9989 0.3694  1 I 2.12, 1 Pu 2.12, 1 Cu 2.25
O 0.9989 0.3440 0.6306  1 I 2.12, 1 Pu 2.12, 1 Cu 2.25
O 0.3440 0.9989 0.1306  1 I 2.12, 1 Pu 2.12, 1 Cu 2.25
O 0.6560 0.6549 0.6306  1 I 2.12, 1 Pu 2.12, 1 Cu 2.25
O 0.3451 0.3440 0.8694  1 I 2.12, 1 Pu 2.12, 1 Cu 2.25

Results
As for the space group: No. 163. For the energy, the calculation gives -59.53 eV per formula unit. For the raw formation energy, the calculation gives -1.09 eV/atom.



A plane-wave DFT calculation with PBE was carried out for a relaxed RbCuIO2 crystal.

a = 4.3883 Å, b = 4.3883 Å, c = 7.5025 Å
α = 90.00°, β = 90.00°, γ = 90.00°
Last column: nearest neighbours and their distance in Å.
Fractional positions:
I 0.0000 0.0000 0.5000  4 Cu 3.10
O 0.0000 0.5000 0.0000  2 Rb 2.19
O 0.5000 0.0000 0.0000  2 Rb 2.19
Cu 0.5000 0.5000 0.5000  4 I 3.10
Rb 0.0000 0.0000 0.0000  4 O 2.19

Results
As for the space group: No. 123. For the energy, the calculation gives -12.46 eV per formula unit. For the raw formation energy, the calculation gives 0.82 eV/atom.



A plane-wave DFT calculation with PBE was carried out for a relaxed Rb5CuIO2 crystal.

a = 5.8154 Å, b = 5.8154 Å, c = 9.3434 Å
α = 90.00°, β = 90.00°, γ = 90.00°
Last column: nearest neighbours and their distance in Å.
Fractional positions:
Rb 0.0000 0.0000 0.5000  2 O 2.83
Rb 0.0000 0.5000 0.7963  2 O 2.91
Rb 0.5000 0.0000 0.2037  2 O 2.91
Rb 0.0000 0.5000 0.2037  2 O 2.91
Rb 0.5000 0.0000 0.7963  2 O 2.91
Cu 0.0000 0.0000 0.0000  2 O 1.84
I 0.5000 0.5000 0.5000  12 Rb 4.01-4.11
O 0.0000 0.0000 0.1971  1 Cu 1.84
O 0.0000 0.0000 0.8029  1 Cu 1.84

Results
As for the space group: No. 123. For the energy, the calculation gives -29.21 eV per formula unit. For the raw formation energy, the calculation gives -0.98 eV/atom.



A plane-wave DFT calculation with PBE was carried out for a relaxed RbCuI2O crystal.

a = 6.7438 Å, b = 6.7438 Å, c = 4.1667 Å
α = 90.00°, β = 90.00°, γ = 90.00°
Last column: nearest neighbours and their distance in Å.
Fractional positions:
I 0.0000 0.5000 0.0000  2 Rb 3.37
I 0.5000 0.0000 0.0000  2 Rb 3.37
O 0.0000 0.0000 0.5000  2 Rb 2.08
Cu 0.5000 0.5000 0.5000  8 I 3.96, 2 Cu 4.17
Rb 0.0000 0.0000 0.0000  2 O 2.08

Results
As for the space group: No. 123. For the energy, the calculation gives -9.70 eV per formula unit. For the raw formation energy, the calculation gives 0.68 eV/atom.



A plane-wave DFT calculation with PBE was carried out for a relaxed Rb2CuIO4 crystal.

a = 5.9290 Å, b = 5.9290 Å, c = 5.9290 Å
α = 97.31°, β = 115.87°, γ = 115.87°
Last column: nearest neighbours and their distance in Å.
Fractional positions:
Rb 0.5000 0.7500 0.2500  4 O 2.93
Rb 0.0000 0.0000 0.0000  4 O 2.99
Cu 0.5000 0.2500 0.7500  4 O 2.04
I 0.0000 0.5000 0.5000  4 O 2.03
O 0.6224 0.3850 0.4972  1 I 2.03, 1 Cu 2.04
O 0.1122 0.2374 0.6150  1 I 2.03, 1 Cu 2.04
O 0.8878 0.5028 0.1252  1 I 2.03, 1 Cu 2.04
O 0.3776 0.8748 0.7626  1 I 2.03, 1 Cu 2.04

Results
As for the space group: No. 82. For the energy, the calculation gives -33.20 eV per formula unit. For the raw formation energy, the calculation gives -0.72 eV/atom.



A plane-wave DFT calculation with PBE was carried out for a relaxed RbCuIO2 crystal.

a = 4.4785 Å, b = 4.4785 Å, c = 5.2211 Å
α = 90.00°, β = 90.00°, γ = 90.00°
Last column: nearest neighbours and their distance in Å.
Fractional positions:
I 0.0000 0.0000 0.5000  2 Cu 2.61
O 0.0000 0.5000 0.0000  2 Cu 2.24
O 0.5000 0.0000 0.0000  2 Cu 2.24
Cu 0.0000 0.0000 0.0000  4 O 2.24
Rb 0.5000 0.5000 0.5000  4 I 3.17, 8 O 3.44

Results
As for the space group: No. 123. For the energy, the calculation gives -16.59 eV per formula unit. For the raw formation energy, the calculation gives -0.01 eV/atom.



A plane-wave DFT calculation with PBE was carried out for a relaxed RbCuI2O crystal.

a = 6.5054 Å, b = 6.5054 Å, c = 3.5581 Å
α = 90.00°, β = 90.00°, γ = 90.00°
Last column: nearest neighbours and their distance in Å.
Fractional positions:
I 0.0000 0.5000 0.0000  2 Cu 3.25, 2 I 3.56
I 0.5000 0.0000 0.0000  2 Cu 3.25, 2 I 3.56
O 0.0000 0.0000 0.5000  2 Cu 1.78
Cu 0.0000 0.0000 0.0000  2 O 1.78
Rb 0.5000 0.5000 0.5000  2 Rb 3.56, 8 I 3.71

Results
As for the space group: No. 123. For the energy, the calculation gives -15.74 eV per formula unit. For the raw formation energy, the calculation gives -0.52 eV/atom.



A plane-wave DFT calculation with PBE was carried out for a relaxed Cu2ReIO crystal.

a = 4.8174 Å, b = 4.8174 Å, c = 5.0714 Å
α = 90.00°, β = 90.00°, γ = 90.00°
Last column: nearest neighbours and their distance in Å.
Fractional positions:
I 0.0000 0.0000 0.0000  4 Cu 2.41, 2 Re 2.54
Re 0.0000 0.0000 0.5000  2 I 2.54
O 0.5000 0.5000 0.5000  4 Re 3.41, 8 Cu 3.50
Cu 0.0000 0.5000 0.0000  2 I 2.41
Cu 0.5000 0.0000 0.0000  2 I 2.41

Results
As for the space group: No. 123. For the energy, the calculation gives -16.56 eV per formula unit. For the raw formation energy, the calculation gives 2.12 eV/atom.



A plane-wave DFT calculation with PBE was carried out for a relaxed CuRhIO2 crystal.

a = 3.7600 Å, b = 3.7600 Å, c = 7.9691 Å
α = 90.00°, β = 90.00°, γ = 90.00°
Last column: nearest neighbours and their distance in Å.
Fractional positions:
I 0.0000 0.0000 0.5000  4 Cu 2.66
Rh 0.0000 0.0000 0.0000  4 O 1.88
O 0.0000 0.5000 0.0000  2 Rh 1.88
O 0.5000 0.0000 0.0000  2 Rh 1.88
Cu 0.5000 0.5000 0.5000  4 I 2.66

Results
As for the space group: No. 123. For the energy, the calculation gives -23.38 eV per formula unit. For the raw formation energy, the calculation gives -0.09 eV/atom.



A plane-wave DFT calculation with PBE was carried out for a relaxed CuRhIO2 crystal.

a = 3.7459 Å, b = 3.7459 Å, c = 6.2376 Å
α = 90.00°, β = 90.00°, γ = 90.00°
Last column: nearest neighbours and their distance in Å.
Fractional positions:
I 0.0000 0.0000 0.5000  4 Rh 2.65
Rh 0.5000 0.5000 0.5000  4 I 2.65
O 0.0000 0.5000 0.0000  2 Cu 1.87
O 0.5000 0.0000 0.0000  2 Cu 1.87
Cu 0.0000 0.0000 0.0000  4 O 1.87

Results
As for the space group: No. 123. For the energy, the calculation gives -20.81 eV per formula unit. For the raw formation energy, the calculation gives 0.42 eV/atom.



A plane-wave DFT calculation with PBE was carried out for a relaxed CuRuI2O crystal.

a = 5.5237 Å, b = 5.5237 Å, c = 3.7267 Å
α = 90.00°, β = 90.00°, γ = 90.00°
Last column: nearest neighbours and their distance in Å.
Fractional positions:
I 0.0000 0.5000 0.0000  2 Ru 2.76
I 0.5000 0.0000 0.0000  2 Ru 2.76
Ru 0.0000 0.0000 0.0000  2 O 1.86
O 0.0000 0.0000 0.5000  2 Ru 1.86
Cu 0.5000 0.5000 0.5000  8 I 3.33, 2 Cu 3.73

Results
As for the space group: No. 123. For the energy, the calculation gives -20.93 eV per formula unit. For the raw formation energy, the calculation gives 0.10 eV/atom.



A plane-wave DFT calculation with PBE was carried out for a relaxed CuRuIO2 crystal.

a = 3.7439 Å, b = 3.7439 Å, c = 5.9436 Å
α = 90.00°, β = 90.00°, γ = 90.00°
Last column: nearest neighbours and their distance in Å.
Fractional positions:
I 0.0000 0.0000 0.5000  4 Ru 2.65
Ru 0.5000 0.5000 0.5000  4 I 2.65
O 0.0000 0.5000 0.0000  2 Cu 1.87
O 0.5000 0.0000 0.0000  2 Cu 1.87
Cu 0.0000 0.0000 0.0000  4 O 1.87

Results
As for the space group: No. 123. For the energy, the calculation gives -21.39 eV per formula unit. For the raw formation energy, the calculation gives 0.69 eV/atom.



A plane-wave DFT calculation with PBE was carried out for a relaxed CuRuI2O crystal.

a = 5.5600 Å, b = 5.5600 Å, c = 3.5432 Å
α = 90.00°, β = 90.00°, γ = 90.00°
Last column: nearest neighbours and their distance in Å.
Fractional positions:
I 0.0000 0.5000 0.0000  2 Cu 2.78
I 0.5000 0.0000 0.0000  2 Cu 2.78
Ru 0.5000 0.5000 0.5000  8 I 3.30, 2 Ru 3.54
O 0.0000 0.0000 0.5000  2 Cu 1.77
Cu 0.0000 0.0000 0.0000  2 O 1.77

Results
As for the space group: No. 123. For the energy, the calculation gives -18.14 eV per formula unit. For the raw formation energy, the calculation gives 0.66 eV/atom.



A plane-wave DFT calculation with PBE was carried out for a relaxed CuRuIO2 crystal.

a = 3.7361 Å, b = 3.7361 Å, c = 7.8892 Å
α = 90.00°, β = 90.00°, γ = 90.00°
Last column: nearest neighbours and their distance in Å.
Fractional positions:
I 0.0000 0.0000 0.5000  4 Cu 2.64
Ru 0.0000 0.0000 0.0000  4 O 1.87
O 0.0000 0.5000 0.0000  2 Ru 1.87
O 0.5000 0.0000 0.0000  2 Ru 1.87
Cu 0.5000 0.5000 0.5000  4 I 2.64

Results
As for the space group: No. 123. For the energy, the calculation gives -26.21 eV per formula unit. For the raw formation energy, the calculation gives -0.27 eV/atom.



A plane-wave DFT calculation with PBE was carried out for a relaxed CuSbIO2 crystal.

a = 3.9702 Å, b = 6.3098 Å, c = 3.9702 Å
α = 90.00°, β = 90.00°, γ = 90.00°
Last column: nearest neighbours and their distance in Å.
Fractional positions:
I 0.0000 0.0000 0.0000  4 O 1.99
Sb 0.0000 0.5000 0.0000  4 Cu 2.81
O 0.0000 0.0000 0.5000  2 I 1.99
O 0.5000 0.0000 0.0000  2 I 1.99
Cu 0.5000 0.5000 0.5000  4 Sb 2.81

Results
As for the space group: No. 123. For the energy, the calculation gives -18.51 eV per formula unit. For the raw formation energy, the calculation gives 0.23 eV/atom.



A plane-wave DFT calculation with PBE was carried out for a relaxed CuSbIO2 crystal.

a = 3.9752 Å, b = 3.9752 Å, c = 6.6941 Å
α = 90.00°, β = 90.00°, γ = 90.00°
Last column: nearest neighbours and their distance in Å.
Fractional positions:
I 0.0000 0.0000 0.5000  4 Cu 2.81
Sb 0.0000 0.0000 0.0000  4 O 1.99
O 0.0000 0.5000 0.0000  2 Sb 1.99
O 0.5000 0.0000 0.0000  2 Sb 1.99
Cu 0.5000 0.5000 0.5000  4 I 2.81

Results
As for the space group: No. 123. For the energy, the calculation gives -21.46 eV per formula unit. For the raw formation energy, the calculation gives -0.35 eV/atom.



A plane-wave DFT calculation with PBE was carried out for a relaxed CuSbIO2 crystal.

a = 4.2086 Å, b = 4.2086 Å, c = 4.8521 Å
α = 90.00°, β = 90.00°, γ = 90.00°
Last column: nearest neighbours and their distance in Å.
Fractional positions:
I 0.0000 0.0000 0.5000  2 Cu 2.43
Sb 0.5000 0.5000 0.5000  4 I 2.98, 8 O 3.21
O 0.0000 0.5000 0.0000  2 Cu 2.10
O 0.5000 0.0000 0.0000  2 Cu 2.10
Cu 0.0000 0.0000 0.0000  4 O 2.10

Results
As for the space group: No. 123. For the energy, the calculation gives -17.95 eV per formula unit. For the raw formation energy, the calculation gives 0.35 eV/atom.



A plane-wave DFT calculation with PBE was carried out for a relaxed CuSb2IO crystal.

a = 4.4144 Å, b = 4.4144 Å, c = 6.7789 Å
α = 90.00°, β = 90.00°, γ = 90.00°
Last column: nearest neighbours and their distance in Å.
Fractional positions:
I 0.0000 0.0000 0.5000  4 Cu 3.12, 2 O 3.39
Sb 0.0000 0.5000 0.0000  2 O 2.21
Sb 0.5000 0.0000 0.0000  2 O 2.21
O 0.0000 0.0000 0.0000  4 Sb 2.21
Cu 0.5000 0.5000 0.5000  4 I 3.12

Results
As for the space group: No. 123. For the energy, the calculation gives -17.29 eV per formula unit. For the raw formation energy, the calculation gives 0.31 eV/atom.



A plane-wave DFT calculation with PBE was carried out for a relaxed CuSb2IO crystal.

a = 5.0414 Å, b = 5.0414 Å, c = 5.1850 Å
α = 90.00°, β = 90.00°, γ = 90.00°
Last column: nearest neighbours and their distance in Å.
Fractional positions:
I 0.0000 0.0000 0.5000  2 Cu 2.59
Sb 0.0000 0.5000 0.0000  2 Cu 2.52
Sb 0.5000 0.0000 0.0000  2 Cu 2.52
O 0.5000 0.5000 0.5000  4 I 3.56, 8 Sb 3.62
Cu 0.0000 0.0000 0.0000  4 Sb 2.52, 2 I 2.59

Results
As for the space group: No. 123. For the energy, the calculation gives -14.64 eV per formula unit. For the raw formation energy, the calculation gives 0.84 eV/atom.



A plane-wave DFT calculation with PBE was carried out for a relaxed ScCuI2O crystal.

a = 5.4971 Å, b = 5.4971 Å, c = 3.6516 Å
α = 90.00°, β = 90.00°, γ = 90.00°
Last column: nearest neighbours and their distance in Å.
Fractional positions:
I 0.0000 0.5000 0.0000  2 Cu 2.75
I 0.5000 0.0000 0.0000  2 Cu 2.75
Sc 0.5000 0.5000 0.5000  8 I 3.30, 2 Sc 3.65
O 0.0000 0.0000 0.5000  2 Cu 1.83
Cu 0.0000 0.0000 0.0000  2 O 1.83

Results
As for the space group: No. 123. For the energy, the calculation gives -19.86 eV per formula unit. For the raw formation energy, the calculation gives -0.28 eV/atom.